[1]
NdErGaPd: optimized geometry, PBE.

Cell: 5.090 5.090 5.090 Å, 60.00 60.00 60.00°
Atoms (fractional coordinates):
Nd: 0.000 0.000 0.000
Er: 0.500 0.500 0.500
Ga: 0.750 0.750 0.750
Pd: 0.250 0.250 0.250

Values from the calculation:
DFT formation energy (eV per atom): -0.653
Excess energy over the best structure of this formula in the dataset (meV/atom): 46.1

[2]
PmNdErGa: optimized geometry, PBE.

Cell: 5.402 5.402 5.402 Å, 60.00 60.00 60.00°
Atoms (fractional coordinates):
Pm: 0.000 0.000 0.000
Nd: 0.250 0.250 0.250
Er: 0.750 0.750 0.750
Ga: 0.500 0.500 0.500

Values from the calculation:
DFT formation energy (eV per atom): -0.045

[3]
PrNdErGa: optimized geometry, PBE.

Cell: 5.439 5.439 5.439 Å, 60.00 60.00 60.00°
Atoms (fractional coordinates):
Pr: 0.000 0.000 0.000
Nd: 0.500 0.500 0.500
Er: 0.750 0.750 0.750
Ga: 0.250 0.250 0.250

Values from the calculation:
DFT formation energy (eV per atom): -0.104

[4]
NdErGaPt: optimized geometry, PBE.

Cell: 5.074 5.074 5.074 Å, 60.00 60.00 60.00°
Atoms (fractional coordinates):
Nd: 0.000 0.000 0.000
Er: 0.500 0.500 0.500
Ga: 0.250 0.250 0.250
Pt: 0.750 0.750 0.750

Values from the calculation:
DFT formation energy (eV per atom): -0.800
Excess energy over the best structure of this formula in the dataset (meV/atom): 93.1

[5]
NdErGaPt: optimized geometry, PBE.

Cell: 4.349 5.977 5.977 Å, 37.73 90.00 90.00°
Atoms (fractional coordinates):
Nd: 0.000 0.000 0.000
Er: 0.500 0.714 0.714
Ga: 0.500 0.421 0.421
Pt: 0.000 0.270 0.270

Values from the calculation:
DFT formation energy (eV per atom): -0.893
Excess energy over the best structure of this formula in the dataset (meV/atom): 0.0

[6]
Nd2ErGa3Pt4: optimized geometry, PBE.

Cell: 4.248 4.248 11.429 Å, 90.00 90.00 90.00°
Atoms (fractional coordinates):
Nd: 0.000 0.500 0.229
Nd: 0.500 0.000 0.771
Er: 0.000 0.000 0.500
Ga: 0.000 0.500 0.875
Ga: 0.500 0.000 0.125
Ga: 0.500 0.500 0.500
Pt: 0.000 0.000 0.000
Pt: 0.000 0.500 0.656
Pt: 0.500 0.000 0.344
Pt: 0.500 0.500 0.000

Values from the calculation:
DFT formation energy (eV per atom): -0.992